## Sc4MnCu (PBE)

Data for an optimized crystal structure of Sc4MnCu.

Space-group type: F-43m (216)
Energy of formation from the pure elements: 0.59 eV/atom
Mass density: 3.8 g/cm³
Total moment: 3.42 Bohr magnetons per cell
Volume: 129 Å³ per cell
N(E_F): 1.07 states/eV/atom

Geometry as POSCAR:
```
Sc4MnCu
1.0
0.0000 4.0084 4.0084
4.0084 0.0000 4.0084
4.0084 4.0084 0.0000
Sc Mn Cu
4 1 1
Cartesian
3.0114 3.0114 3.0114
5.0053 5.0053 3.0114
5.0053 3.0114 5.0053
3.0114 5.0053 5.0053
6.0125 6.0125 6.0125
0.0000 0.0000 0.0000
```


## MgSiB2 (PBE)

Data for an optimized crystal structure of MgSiB2.

Space-group type: Pm (6)
Formation energy (no corrections): 0.1463 eV/atom
Mass density: 2.4 g/cm³
Total moment: 0.00 Bohr magnetons per cell
Volume: 103 Å³ per cell
N(E_F): 0.19 states/eV/atom

Geometry as POSCAR:
```
MgSiB2
1.0
3.6384 0.0000 0.0000
0.0000 4.4655 0.0000
-0.6877 0.0000 6.3247
Mg Si B
2 2 4
Cartesian
0.0000 0.0000 0.0000
1.1772 0.0000 2.7096
1.9760 2.2328 0.6917
1.7493 2.2328 4.6288
0.1633 2.2328 1.6320
0.1029 2.2328 3.3876
3.0282 0.7855 4.0578
3.0282 3.6801 4.0578
```


## LaCo4Ge12 (PBE)

Data for an optimized crystal structure of LaCo4Ge12.

Space-group type: Im-3 (204)
Energy of formation from the pure elements: -0.15 eV/atom
Mass density: 6.9 g/cm³
Total moment: 0.00 Bohr magnetons per cell
Volume: 299 Å³ per cell
N(E_F): 0.88 states/eV/atom

Geometry as POSCAR:
```
LaCo4Ge12
1.0
-4.2121 4.2121 4.2121
4.2121 -4.2121 4.2121
4.2121 4.2121 -4.2121
La Co Ge
1 4 12
Cartesian
0.0000 0.0000 0.0000
2.1061 2.1061 -2.1061
2.1061 -2.1061 2.1061
-2.1061 2.1061 2.1061
2.1061 2.1061 2.1061
2.9071 1.4165 0.0000
5.5172 1.4165 0.0000
4.2121 -1.3050 2.7956
2.7956 4.2121 -1.3050
1.4165 0.0000 2.9071
4.2121 1.3050 2.7956
0.0000 2.9071 1.4165
2.7956 4.2121 1.3050
1.4165 0.0000 5.5172
0.0000 5.5172 1.4165
-1.3050 2.7956 4.2121
1.3050 2.7956 4.2121
```


## Pm6Pr3ErTm2 (PBE)

Data for an optimized crystal structure of Pm6Pr3ErTm2.

Space-group type: C2/m (12)
Energy of formation from the pure elements: 0.02 eV/atom
Mass density: 7.4 g/cm³
Total moment: 0.00 Bohr magnetons per cell
Volume: 405 Å³ per cell
N(E_F): 1.35 states/eV/atom

Geometry as POSCAR:
```
Pm6Pr3ErTm2
1.0
3.1467 -5.4520 0.0000
3.1467 5.4520 0.0000
-2.0990 0.0000 11.8028
Pm Pr Er Tm
6 3 1 2
Cartesian
-0.0056 1.8184 8.9266
1.0517 0.0000 2.8752
-0.0056 -1.8184 8.9266
4.2001 1.8184 2.8761
3.1428 0.0000 8.9276
4.2001 -1.8184 2.8761
-1.0495 0.0000 5.9014
2.0972 1.8171 5.9014
2.0972 -1.8171 5.9014
3.1467 0.0000 0.0000
3.1467 3.6341 0.0000
3.1467 -3.6341 0.0000
```


Repeat the second record exactly.
## MgSiB2 (PBE)

Data for an optimized crystal structure of MgSiB2.

Space-group type: Pm (6)
Formation energy (no corrections): 0.1463 eV/atom
Mass density: 2.4 g/cm³
Total moment: 0.00 Bohr magnetons per cell
Volume: 103 Å³ per cell
N(E_F): 0.19 states/eV/atom

Geometry as POSCAR:
```
MgSiB2
1.0
3.6384 0.0000 0.0000
0.0000 4.4655 0.0000
-0.6877 0.0000 6.3247
Mg Si B
2 2 4
Cartesian
0.0000 0.0000 0.0000
1.1772 0.0000 2.7096
1.9760 2.2328 0.6917
1.7493 2.2328 4.6288
0.1633 2.2328 1.6320
0.1029 2.2328 3.3876
3.0282 0.7855 4.0578
3.0282 3.6801 4.0578
```